{
  "formula": "TbTmB",
  "functional": "PBE-GGA",
  "state": "relaxed",
  "cell": [[0.000, 3.184, 3.184], [3.184, 0.000, 3.184], [3.184, 3.184, 0.000]],
  "species": ["Tb", "Tm", "B"],
  "fractional_positions": [[0.000, 0.000, 0.000], [0.500, 0.500, 0.500], [0.250, 0.250, 0.250]],
  "relative_energy_mev_per_atom": 0,
  "crystal_system": "cubic"
}



{
  "formula": "PmGePd",
  "functional": "PBE-GGA",
  "state": "relaxed",
  "cell": [[0.000, 3.381, 3.381], [3.381, 0.000, 3.381], [3.381, 3.381, 0.000]],
  "species": ["Pm", "Ge", "Pd"],
  "fractional_positions": [[0.000, 0.000, 0.000], [0.750, 0.750, 0.750], [0.250, 0.250, 0.250]],
  "relative_energy_mev_per_atom": 804,
  "crystal_system": "cubic"
}



{
  "formula": "CsYMo",
  "functional": "PBE-GGA",
  "state": "relaxed",
  "cell": [[0.000, 3.601, 3.601], [3.601, 0.000, 3.601], [3.601, 3.601, 0.000]],
  "species": ["Cs", "Y", "Mo"],
  "fractional_positions": [[0.000, 0.000, 0.000], [0.250, 0.250, 0.250], [0.750, 0.750, 0.750]],
  "relative_energy_mev_per_atom": 185,
  "crystal_system": "cubic"
}